Entry 1:
# ZrBe2Re

An optimized crystal structure of ZrBe2Re (PBE-GGA, Alexandria via LeMat-Bulk).

Results
As for the total energy: -7.2178 eV/atom. Its symmetry is Pmmm, No. 47. The calculation puts the energy above the most stable polymorph in this dataset at 12.03 kJ per mole of atoms. The calculation puts the formation energy at -0.4 eV/f.u.

a = 3.078 Å, b = 3.144 Å, c = 5.548 Å
α = 90.00°, β = 90.00°, γ = 90.00°
Atoms (fractional coordinates):
Zr (0.000, 0.000, 0.000)
Be (0.500, 0.500, 0.310)
Be (0.500, 0.500, 0.690)
Re (0.000, 0.000, 0.500)

***

Entry 2:
# Zr2BeRe

An optimized crystal structure of Zr2BeRe (PBE-GGA, Alexandria via LeMat-Bulk).

Results
As for the total energy: -7.8314 eV/atom. Its symmetry is I-42d, No. 122. The calculation puts the formation energy at 1.9 eV/f.u.

a = 7.305 Å, b = 7.305 Å, c = 5.433 Å
α = 90.00°, β = 90.00°, γ = 90.00°
Atoms (fractional coordinates):
Zr (0.245, 0.750, 0.125)
Zr (0.250, 0.245, 0.875)
Zr (0.250, 0.255, 0.375)
Zr (0.255, 0.750, 0.625)
Zr (0.745, 0.250, 0.625)
Zr (0.750, 0.745, 0.375)
Zr (0.750, 0.755, 0.875)
Zr (0.755, 0.250, 0.125)
Be (0.000, 0.000, 0.000)
Be (0.000, 0.500, 0.250)
Be (0.500, 0.000, 0.750)
Be (0.500, 0.500, 0.500)
Re (0.000, 0.000, 0.500)
Re (0.000, 0.500, 0.750)
Re (0.500, 0.000, 0.250)
Re (0.500, 0.500, 0.000)